# 1
An optimized crystal structure of Sm2GaBr2. Source: Alexandria, functional PBE.

Output
formation energy (no corrections) = -1.268 eV per atom
total energy = -4.43 eV per atom

abc: 7.019 4.054 11.328
angles: 90.00 90.56 90.00
Fractional positions:
Sm 0.169 0.000 0.167
Sm 0.331 0.500 0.833
Sm 0.669 0.500 0.167
Sm 0.831 0.000 0.833
Ga 0.000 0.500 0.000
Ga 0.500 0.000 0.000
Br 0.162 0.000 0.671
Br 0.338 0.500 0.329
Br 0.662 0.500 0.671
Br 0.838 0.000 0.329


# 2
An optimized crystal structure of Co2NiOs. Source: Alexandria, functional PBE.

Output
total energy = -7.66 eV per atom
polymorph energy (0 for the lowest one) = 0.038 eV per atom
ΔH_f (0 K) = 0.150 eV/atom

abc: 2.607 2.607 24.695
angles: 90.00 90.00 120.00
Fractional positions:
Co 0.000 0.000 0.000
Co 0.000 0.000 0.254
Co 0.333 0.667 0.667
Co 0.333 0.667 0.921
Co 0.667 0.333 0.333
Co 0.667 0.333 0.587
Ni 0.000 0.000 0.506
Ni 0.333 0.667 0.173
Ni 0.667 0.333 0.840
Os 0.000 0.000 0.753
Os 0.333 0.667 0.420
Os 0.667 0.333 0.086


# 3
An optimized crystal structure of LaDy2Tl. Source: Alexandria, functional PBE.

Output
total energy = -4.31 eV per atom
polymorph energy (0 for the lowest one) = 0.000 eV per atom
ΔH_f (0 K) = -0.181 eV/atom

abc: 4.967 4.967 4.855
angles: 90.00 90.00 90.00
Fractional positions:
La 0.000 0.000 0.000
Dy 0.000 0.500 0.500
Dy 0.500 0.000 0.500
Tl 0.500 0.500 0.000


# 4
An optimized crystal structure of Hf2UPt. Source: Alexandria, functional PBE.

Output
total energy = -9.38 eV per atom
polymorph energy (0 for the lowest one) = 0.285 eV per atom
ΔH_f (0 K) = -0.074 eV/atom

abc: 6.809 6.809 6.809
angles: 90.00 90.00 90.00
Fractional positions:
Hf 0.250 0.250 0.250
Hf 0.250 0.250 0.750
Hf 0.250 0.750 0.250
Hf 0.250 0.750 0.750
Hf 0.750 0.250 0.250
Hf 0.750 0.250 0.750
Hf 0.750 0.750 0.250
Hf 0.750 0.750 0.750
U 0.000 0.000 0.000
U 0.000 0.500 0.500
U 0.500 0.000 0.500
U 0.500 0.500 0.000
Pt 0.000 0.000 0.500
Pt 0.000 0.500 0.000
Pt 0.500 0.000 0.000
Pt 0.500 0.500 0.500


# 5
An optimized crystal structure of CaTcPb3. Source: Alexandria, functional PBE.

Output
total energy = -3.29 eV per atom
polymorph energy (0 for the lowest one) = 1.149 eV per atom
ΔH_f (0 K) = 1.406 eV/atom

abc: 5.749 5.749 5.749
angles: 90.00 90.00 90.00
Fractional positions:
Ca 0.000 0.000 0.000
Tc 0.500 0.500 0.500
Pb 0.000 0.000 0.500
Pb 0.000 0.500 0.000
Pb 0.500 0.000 0.000


# 6
An optimized crystal structure of CrFe2Bi. Source: Alexandria, functional PBE.

Output
total energy = -6.65 eV per atom
ΔH_f (0 K) = 0.961 eV/atom

abc: 4.232 4.232 15.084
angles: 90.00 90.00 90.00
Fractional positions:
Cr 0.000 0.000 0.000
Cr 0.000 0.500 0.250
Cr 0.500 0.000 0.750
Cr 0.500 0.500 0.500
Fe 0.131 0.250 0.125
Fe 0.250 0.631 0.375
Fe 0.250 0.869 0.875
Fe 0.369 0.250 0.625
Fe 0.631 0.750 0.625
Fe 0.750 0.131 0.875
Fe 0.750 0.369 0.375
Fe 0.869 0.750 0.125
Bi 0.000 0.000 0.500
Bi 0.000 0.500 0.750
Bi 0.500 0.000 0.250
Bi 0.500 0.500 0.000


# 7
An optimized crystal structure of BeRh2Se. Source: Alexandria, functional PBE.

Output
formation energy (no corrections) = -0.108 eV per atom
total energy = -5.59 eV per atom
polymorph energy (0 for the lowest one) = 0.096 eV per atom

abc: 3.547 4.312 7.103
angles: 90.00 90.00 90.00
Fractional positions:
Be 0.000 0.000 0.000
Be 0.500 0.500 0.500
Rh 0.000 0.500 0.292
Rh 0.000 0.500 0.708
Rh 0.500 0.000 0.208
Rh 0.500 0.000 0.792
Se 0.000 0.000 0.500
Se 0.500 0.500 0.000


# 8
An optimized crystal structure of LaTh6. Source: Alexandria, functional PBE.

Output
total energy = -5.47 eV per atom
polymorph energy (0 for the lowest one) = 1.238 eV per atom
ΔH_f (0 K) = 1.593 eV/atom

abc: 8.506 8.506 8.506
angles: 90.00 90.00 90.00
Fractional positions:
La 0.000 0.000 0.000
La 0.500 0.500 0.500
Th 0.000 0.250 0.500
Th 0.000 0.500 0.250
Th 0.000 0.500 0.750
Th 0.000 0.750 0.500
Th 0.250 0.000 0.500
Th 0.250 0.500 0.000
Th 0.500 0.000 0.250
Th 0.500 0.000 0.750
Th 0.500 0.250 0.000
Th 0.500 0.750 0.000
Th 0.750 0.000 0.500
Th 0.750 0.500 0.000


The lowest total energy belongs to which entry? Hf2UPt


Look up the total energy of the fourth one. -9.38 eV per atom


Among the records above, which one has the highest total energy? CaTcPb3